Below is an optimized crystal structure of BeZn2Ir, with properties calculated at the PBE-GGA level.

Lattice parameters (Å, degrees): 4.0140 2.7682 4.8176 74.67 90.00 90.00
Closest atoms and distances in Å follow each position.
Element x y z (fractional)
Ir 0.5000 0.7500 0.7500  2 Be 2.44, 4 Zn 2.69
Zn 0.0000 0.1018 0.0121  2 Be 2.40, 3 Zn 2.44-2.63, 2 Ir 2.69
Zn 0.0000 0.3982 0.4879  2 Be 2.40, 3 Zn 2.44-2.63, 2 Ir 2.69
Be 0.5000 0.2500 0.2500  4 Zn 2.40, 2 Ir 2.44

Computed properties:
The volume is 52 Å³/cell. Its calculated density is 10.68 Mg/m³. The calculation puts the total energy at -15.35 eV for the cell shown. For the calculated formation energy, the calculation gives -55 meV/atom. The space group is P2/m, No. 10.